BeCu: relaxed, PBE.

Calculated values
calculated total energy = -3.91 eV/atom
crystal system = hexagonal
SG = P-6m2, No. 187

Cell: 2.4911 2.4911 3.7549 Å, 90.00 90.00 120.00°
Closest atoms and distances in Å follow each position.
Fractional positions:
Cu 0.6667 0.3333 0.5000  6 Be 2.37, 6 Cu 2.49
Be 0.0000 0.0000 0.0000  6 Cu 2.37, 6 Be 2.49